Record 1
The following is a DFT calculation (GGA-PBE) of crystalline LiCoMo at its relaxed geometry.

Cell: 5.5629 5.5629 5.5629 Å, 90.00 90.00 90.00°
Space group F-43m (No. 216)
Unique sites:
1 Li 0.0000 0.0000 0.0000 x4
2 Co 0.2500 0.2500 0.7500 x4
3 Mo 0.0000 0.0000 0.5000 x4

## Properties
- Total moment: 0.00 μB per formula unit
- Offset from the most stable computed form: 352 meV/atom
- ΔE_f: 626 meV per atom


Record 2
The following is a DFT calculation (GGA-PBE) of crystalline HfMg3Ta3N8 at its relaxed geometry.

Cell: 6.2159 6.2159 15.4387 Å, 90.00 90.00 120.00°
Space group R-3m (No. 166, hexagonal axes)
Unique sites:
1 Hf 0.0000 0.0000 0.0000 x3
2 Mg 0.0000 0.5000 0.5000 x9
3 Ta 0.0000 0.5000 0.0000 x9
4 N 0.0000 0.0000 0.2529 x6
5 N 0.0038 0.5019 0.2585 x18

## Properties
- Total moment: 0.00 μB per formula unit
- Energy relative to the elements, uncorrected: -1.09 eV/atom


Record 3
The following is a DFT calculation (GGA-PBE) of crystalline NaNpC2O8 at its relaxed geometry.

Cell: 8.3544 5.2601 7.6329 Å, 90.00 95.71 90.00°
Space group C2/m (No. 12)
Unique sites:
1 Na 0.0000 0.0000 0.0000 x2
2 Np 0.0000 0.0000 0.5000 x2
3 C 0.0786 0.5000 0.7894 x4
4 O 0.0218 0.2865 0.7157 x8
5 O 0.1730 0.5000 0.9259 x4
6 O 0.2106 0.0000 0.4852 x4

## Properties
- Total moment: 0.08 μB per formula unit
- Energy relative to the elements, uncorrected: -1.79 eV/atom


Record 4
The following is a DFT calculation (GGA-PBE) of crystalline MgSbPd6 at its relaxed geometry.

Cell: 5.6380 5.6380 4.0468 Å, 90.00 90.00 90.00°
Space group P4/mmm (No. 123)
Unique sites:
1 Mg 0.0000 0.0000 0.0000 x1
2 Sb 0.5000 0.5000 0.0000 x1
3 Pd 0.0000 0.5000 0.0000 x2
4 Pd 0.2486 0.2486 0.5000 x4

## Properties
- Total moment: 0.00 μB per formula unit
- Offset from the most stable computed form: 0 meV/atom
- Energy relative to the elements, uncorrected: -0.47 eV/atom


Record 5
The following is a DFT calculation (GGA-PBE) of crystalline LiMg3S at its relaxed geometry.

Cell: 4.9467 4.9467 4.9467 Å, 90.00 90.00 90.00°
Space group Pm-3m (No. 221)
Unique sites:
1 Li 0.0000 0.0000 0.0000 x1
2 Mg 0.0000 0.5000 0.5000 x3
3 S 0.5000 0.5000 0.5000 x1

## Properties
- Total moment: 0.00 μB per formula unit
- Offset from the most stable computed form: 0 meV/atom
- Energy relative to the elements, uncorrected: -0.12 eV/atom


Record 6
The following is a DFT calculation (GGA-PBE) of crystalline CsGeSbTe2 at its relaxed geometry.

Cell: 5.7598 5.7598 5.4758 Å, 90.00 90.00 90.00°
Space group P4/mmm (No. 123)
Unique sites:
1 Cs 0.0000 0.0000 0.0000 x1
2 Ge 0.5000 0.5000 0.5000 x1
3 Sb 0.5000 0.5000 0.0000 x1
4 Te 0.0000 0.5000 0.5000 x2

## Properties
- Total moment: 0.00 μB per formula unit
- Offset from the most stable computed form: 0 meV/atom
- Energy relative to the elements, uncorrected: -0.01 eV/atom


Record 7
The following is a DFT calculation (GGA-PBE) of crystalline SrMgTc2 at its relaxed geometry.

Cell: 3.5658 3.5658 6.8763 Å, 90.00 90.00 90.00°
Space group P4/mmm (No. 123)
Unique sites:
1 Sr 0.0000 0.0000 0.0000 x1
2 Mg 0.0000 0.0000 0.5000 x1
3 Tc 0.5000 0.5000 0.3376 x2

## Properties
- Total moment: 0.00 μB per formula unit
- ΔE_f: 574 meV per atom


Record 8
The following is a DFT calculation (GGA-PBE) of crystalline AsSeCl2 at its relaxed geometry.

Cell: 3.2092 5.1908 14.1566 Å, 90.00 90.00 90.00°
Space group Immm (No. 71)
Unique sites:
1 As 0.0000 0.0000 0.0000 x2
2 Se 0.0000 0.0000 0.5000 x2
3 Cl 0.0000 0.5000 0.3605 x4

## Properties
- Total moment: 0.00 μB per formula unit
- Offset from the most stable computed form: 382 meV/atom
- Energy relative to the elements, uncorrected: 0.06 eV/atom


Record 9
The following is a DFT calculation (GGA-PBE) of crystalline VSnI2 at its relaxed geometry.

Cell: 7.7026 7.7026 7.7026 Å, 90.00 90.00 90.00°
Space group Fm-3m (No. 225)
Unique sites:
1 V 0.0000 0.0000 0.0000 x4
2 Sn 0.0000 0.0000 0.5000 x4
3 I 0.2500 0.2500 0.2500 x8

## Properties
- Total moment: 4.02 μB per formula unit
- Offset from the most stable computed form: 397 meV/atom
- Energy relative to the elements, uncorrected: 0.45 eV/atom


Record 10
The following is a DFT calculation (GGA-PBE) of crystalline Mn3CoAu at its relaxed geometry.

Cell: 4.1663 4.1663 4.1663 Å, 90.00 90.00 90.00°
Space group Pm-3m (No. 221)
Unique sites:
1 Mn 0.0000 0.0000 0.5000 x3
2 Co 0.0000 0.0000 0.0000 x1
3 Au 0.5000 0.5000 0.5000 x1

## Properties
- Total moment: 0.00 μB per formula unit
- Offset from the most stable computed form: 0 meV/atom
- ΔE_f: 1270 meV per atom


Record 11
The following is a DFT calculation (GGA-PBE) of crystalline Te3Pt at its relaxed geometry.

Cell: 5.8497 5.8497 5.8497 Å, 90.00 90.00 90.00°
Space group Pm-3n (No. 223)
Unique sites:
1 Te 0.0000 0.2500 0.5000 x6
2 Pt 0.0000 0.0000 0.0000 x2

## Properties
- Total moment: 0.00 μB per formula unit
- Energy relative to the elements, uncorrected: 0.66 eV/atom


Record 12
The following is a DFT calculation (GGA-PBE) of crystalline La12PmY7 at its relaxed geometry.

Cell: 19.7072 19.7072 6.3865 Å, 90.00 90.00 120.00°
Space group R-3 (No. 148, hexagonal axes)
Unique sites:
1 La 0.0003 0.4079 0.0006 x18
2 La 0.0951 0.5479 0.4755 x18
3 Pm 0.0000 0.0000 0.5000 x3
4 Y 0.0000 0.0000 0.0000 x3
5 Y 0.0824 0.9167 0.2987 x18

## Properties
- Total moment: 0.00 μB per formula unit
- Offset from the most stable computed form: 33 meV/atom
- ΔE_f: 213 meV per atom


Record 13
The following is a DFT calculation (GGA-PBE) of crystalline PrGaBi2 at its relaxed geometry.

Cell: 6.6243 5.4506 6.6243 Å, 90.00 105.83 90.00°
Space group P2_1/m (No. 11)
Unique sites:
1 Pr 0.2206 0.2500 0.4160 x2
2 Ga 0.3817 0.7500 0.1890 x2
3 Bi 0.0873 0.2500 0.8841 x2
4 Bi 0.3371 0.7500 0.7435 x2

## Properties
- Total moment: 0.00 μB per formula unit
- Offset from the most stable computed form: 0 meV/atom
- ΔE_f: -440 meV per atom